# NdErZnRh (PBE-GGA, relaxed)
data_NdErZnRh
_cell_length_a 7.075
_cell_length_b 7.075
_cell_length_c 7.075
_cell_angle_alpha 90.00
_cell_angle_beta 90.00
_cell_angle_gamma 90.00
_symmetry_space_group_name_H-M 'F -4 3 m'
_symmetry_Int_Tables_number 216
_symmetry_space_group_name_Hall 'F -4 2 3'
loop_
_atom_site_label
_atom_site_type_symbol
_atom_site_fract_x
_atom_site_fract_y
_atom_site_fract_z
_atom_site_occupancy
Nd1 Nd 0.000 0.000 0.000 1
Er1 Er 0.000 0.000 0.500 1
Zn1 Zn 0.250 0.250 0.250 1
Rh1 Rh 0.250 0.250 0.750 1
# Polymorph energy (0 for the lowest one) in meV/atom: 13
# Mass density in g/cm³: 9.0
# E in eV per cell: -80.537
# Formation enthalpy at 0 K in eV/atom: -0.54